Entry 1:
{
  "formula": "SiSn2Ru2",
  "functional": "PBE-GGA",
  "state": "relaxed",
  "raw_formation_energy_ev_per_atom": -0.03,
  "e_tot_ev_per_cell": -64.23,
  "total_magnetization_mub_per_cell": 0.000,
  "cell": [[-2.170, -0.819, 6.054], [5.260, -3.519, 1.409], [1.999, 3.461, 1.185]],
  "species": ["Sn", "Sn", "Sn", "Sn", "Ru", "Ru", "Ru", "Ru", "Si", "Si"],
  "frac_coords": [[0.342, 0.158, 0.500], [0.158, 0.658, 0.500], [0.658, 0.842, 0.500], [0.842, 0.342, 0.500], [0.158, 0.342, 0.000], [0.842, 0.658, 0.000], [0.658, 0.158, 0.000], [0.342, 0.842, 0.000], [0.000, 0.000, 0.000], [0.500, 0.500, 0.000]]
}

=====

Entry 2:
{
  "formula": "SiSnRu2",
  "functional": "PBE-GGA",
  "state": "relaxed",
  "raw_formation_energy_ev_per_atom": 0.53,
  "e_tot_ev_per_cell": -51.68,
  "total_magnetization_mub_per_cell": 0.000,
  "cell": [[5.827, 0.000, 0.000], [0.000, 5.827, 0.000], [2.913, 2.913, 5.134]],
  "species": ["Sn", "Sn", "Ru", "Ru", "Ru", "Ru", "Si", "Si"],
  "frac_coords": [[0.750, 0.250, 0.500], [0.000, 0.000, 0.000], [0.875, 0.830, 0.750], [0.375, 0.420, 0.750], [0.170, 0.625, 0.250], [0.580, 0.125, 0.250], [0.250, 0.750, 0.500], [0.500, 0.500, 0.000]]
}

=====

Entry 3:
{
  "formula": "Si2SnRu2",
  "functional": "PBE-GGA",
  "state": "relaxed",
  "raw_formation_energy_ev_per_atom": -0.12,
  "e_tot_ev_per_cell": -68.03,
  "total_magnetization_mub_per_cell": 0.000,
  "cell": [[-3.318, 1.338, -6.404], [3.521, -5.687, -3.012], [-2.152, -1.731, 0.753]],
  "species": ["Ru", "Ru", "Ru", "Ru", "Si", "Si", "Si", "Si", "Sn", "Sn"],
  "frac_coords": [[0.849, 0.349, 0.500], [0.349, 0.151, 0.500], [0.151, 0.651, 0.500], [0.651, 0.849, 0.500], [0.632, 0.132, 0.000], [0.368, 0.868, 0.000], [0.132, 0.368, 0.000], [0.868, 0.632, 0.000], [0.500, 0.500, 0.000], [0.000, 0.000, 0.000]]
}

=====

What did the second record say?
{
  "formula": "SiSnRu2",
  "functional": "PBE-GGA",
  "state": "relaxed",
  "raw_formation_energy_ev_per_atom": 0.53,
  "e_tot_ev_per_cell": -51.68,
  "total_magnetization_mub_per_cell": 0.000,
  "cell": [[5.827, 0.000, 0.000], [0.000, 5.827, 0.000], [2.913, 2.913, 5.134]],
  "species": ["Sn", "Sn", "Ru", "Ru", "Ru", "Ru", "Si", "Si"],
  "frac_coords": [[0.750, 0.250, 0.500], [0.000, 0.000, 0.000], [0.875, 0.830, 0.750], [0.375, 0.420, 0.750], [0.170, 0.625, 0.250], [0.580, 0.125, 0.250], [0.250, 0.750, 0.500], [0.500, 0.500, 0.000]]
}